# 1
# CeBPt2 (meta-GGA SCAN, PBEsol geometry)
# Formation enthalpy at 0 K ... -101 kJ per mole of atoms
# Total energy ... -49.139 eV/atom
data_CeBPt2
_chemical_formula_sum 'Ce3 B3 Pt6'
_cell_length_a 5.4407
_cell_length_b 5.4407
_cell_length_c 7.7379
_cell_angle_alpha 90.00
_cell_angle_beta 90.00
_cell_angle_gamma 120.00
_space_group_name_H-M_alt 'P 64 2 2'
_space_group_IT_number 181
_space_group_name_Hall 'P 64 2 (0 0 2)'
loop_
_atom_site_label
_atom_site_type_symbol
_atom_site_fract_x
_atom_site_fract_y
_atom_site_fract_z
Ce1 Ce 0.0000 0.5000 0.3333
B1 B 0.0000 0.5000 0.8333
Pt1 Pt 0.1486 0.2972 0.0000


# 2
# NiAg3Te (meta-GGA SCAN, PBEsol geometry)
# E_form (uncorrected) ... 5.2 eV per formula unit
# Total energy ... -28.462 eV/atom
data_NiAg3Te
_chemical_formula_sum 'Ni1 Ag3 Te1'
_cell_length_a 5.1354
_cell_length_b 5.1354
_cell_length_c 5.1354
_cell_angle_alpha 90.00
_cell_angle_beta 90.00
_cell_angle_gamma 90.00
_space_group_name_H-M_alt 'P m -3 m'
_space_group_IT_number 221
_space_group_name_Hall '-P 4 2 3'
loop_
_atom_site_label
_atom_site_type_symbol
_atom_site_fract_x
_atom_site_fract_y
_atom_site_fract_z
Ni1 Ni 0.0000 0.0000 0.0000
Ag1 Ag 0.0000 0.5000 0.5000
Te1 Te 0.5000 0.5000 0.5000


# 3
# AgIrCl2 (meta-GGA SCAN, PBEsol geometry)
# E_form (uncorrected) ... 2.4 eV per formula unit
# Total energy ... -29.002 eV/atom
data_AgIrCl2
_chemical_formula_sum 'Ag2 Ir2 Cl4'
_cell_length_a 3.5283
_cell_length_b 3.5283
_cell_length_c 11.5165
_cell_angle_alpha 90.00
_cell_angle_beta 90.00
_cell_angle_gamma 90.00
_space_group_name_H-M_alt 'I -4 m 2'
_space_group_IT_number 119
_space_group_name_Hall 'I -4 -2'
loop_
_atom_site_label
_atom_site_type_symbol
_atom_site_fract_x
_atom_site_fract_y
_atom_site_fract_z
Ag1 Ag 0.0000 0.0000 0.0000
Ir1 Ir 0.0000 0.5000 0.7500
Cl1 Cl 0.0000 0.0000 0.5000
Cl2 Cl 0.0000 0.5000 0.2500


# 4
# MgCoW2 (meta-GGA SCAN, PBEsol geometry)
# Formation enthalpy at 0 K ... 43 kJ per mole of atoms
# Total energy ... -39.966 eV/atom
data_MgCoW2
_chemical_formula_sum 'Mg1 Co1 W2'
_cell_length_a 3.0935
_cell_length_b 3.0935
_cell_length_c 6.2852
_cell_angle_alpha 90.00
_cell_angle_beta 90.00
_cell_angle_gamma 90.00
_space_group_name_H-M_alt 'P 4 m m'
_space_group_IT_number 99
_space_group_name_Hall 'P 4 -2'
loop_
_atom_site_label
_atom_site_type_symbol
_atom_site_fract_x
_atom_site_fract_y
_atom_site_fract_z
Mg1 Mg 0.0000 0.0000 0.0000
Co1 Co 0.5000 0.5000 0.7386
W1 W 0.0000 0.0000 0.5356
W2 W 0.5000 0.5000 0.2943


# 5
# MgSc2P (meta-GGA SCAN, PBEsol geometry)
# Formation enthalpy at 0 K ... -54 kJ per mole of atoms
# Total energy ... -11.516 eV/atom
data_MgSc2P
_chemical_formula_sum 'Mg2 Sc4 P2'
_cell_length_a 3.5624
_cell_length_b 4.8075
_cell_length_c 9.3325
_cell_angle_alpha 90.00
_cell_angle_beta 90.00
_cell_angle_gamma 90.00
_space_group_name_H-M_alt 'I m m m'
_space_group_IT_number 71
_space_group_name_Hall '-I 2 2'
loop_
_atom_site_label
_atom_site_type_symbol
_atom_site_fract_x
_atom_site_fract_y
_atom_site_fract_z
Mg1 Mg 0.0000 0.0000 0.0000
Sc1 Sc 0.0000 0.5000 0.2012
P1 P 0.0000 0.0000 0.5000


# 6
# Cu2SiGe (meta-GGA SCAN, PBEsol geometry)
# E_form (uncorrected) ... 1.3 eV per formula unit
# Total energy ... -14.539 eV/atom
data_Cu2SiGe
_chemical_formula_sum 'Cu8 Si4 Ge4'
_cell_length_a 6.0432
_cell_length_b 6.0432
_cell_length_c 6.0432
_cell_angle_alpha 90.00
_cell_angle_beta 90.00
_cell_angle_gamma 90.00
_space_group_name_H-M_alt 'F m -3 m'
_space_group_IT_number 225
_space_group_name_Hall '-F 4 2 3'
loop_
_atom_site_label
_atom_site_type_symbol
_atom_site_fract_x
_atom_site_fract_y
_atom_site_fract_z
Cu1 Cu 0.2500 0.2500 0.2500
Si1 Si 0.0000 0.0000 0.0000
Ge1 Ge 0.0000 0.0000 0.5000


# 7
# TlHI2 (meta-GGA SCAN, PBEsol geometry)
# Total energy ... -37.250 eV/atom
data_TlHI2
_chemical_formula_sum 'Tl4 H4 I8'
_cell_length_a 7.3982
_cell_length_b 7.3982
_cell_length_c 8.3370
_cell_angle_alpha 90.00
_cell_angle_beta 90.00
_cell_angle_gamma 90.00
_space_group_name_H-M_alt 'I -4 2 d'
_space_group_IT_number 122
_space_group_name_Hall 'I -4 2bw'
loop_
_atom_site_label
_atom_site_type_symbol
_atom_site_fract_x
_atom_site_fract_y
_atom_site_fract_z
Tl1 Tl 0.0000 0.0000 0.0000
H1 H 0.0000 0.0000 0.5000
I1 I 0.1392 0.7500 0.6250


# 8
# Sb2W (meta-GGA SCAN, PBEsol geometry)
# E_form (uncorrected) ... 1.5 eV per formula unit
# Total energy ... -47.584 eV/atom
data_Sb2W
_chemical_formula_sum 'Sb4 W2'
_cell_length_a 3.2447
_cell_length_b 3.2447
_cell_length_c 12.5319
_cell_angle_alpha 90.00
_cell_angle_beta 90.00
_cell_angle_gamma 90.00
_space_group_name_H-M_alt 'I 4/m m m'
_space_group_IT_number 139
_space_group_name_Hall '-I 4 2'
loop_
_atom_site_label
_atom_site_type_symbol
_atom_site_fract_x
_atom_site_fract_y
_atom_site_fract_z
Sb1 Sb 0.0000 0.0000 0.1343
W1 W 0.0000 0.0000 0.5000